Record 1
Density functional theory data (PBE-GGA) for a relaxed Ti5Mn4Tl crystal.

a b c (Å): 3.0103 3.0103 16.3041
angles (deg): 90.00 90.00 90.00
Fractional positions:
1 Ti 0.5000 0.5000 0.3175
2 Ti 0.5000 0.5000 0.5000
3 Ti 0.5000 0.5000 0.8586
4 Mn 0.0000 0.0000 0.2232
5 Mn 0.0000 0.0000 0.4092
6 Mn 0.0000 0.0000 0.5908
7 Ti 0.5000 0.5000 0.6825
8 Tl 0.0000 0.0000 0.0000
9 Ti 0.5000 0.5000 0.1414
10 Mn 0.0000 0.0000 0.7768

Properties
Theoretical density ... 7.46 Mg/m³
Formation energy ... -174.7 kJ/mol of formula units
Uncorrected energy ... -80.33 eV per cell
Space-group type ... P4/mmm (123)

***

Record 2
Density functional theory data (PBE-GGA) for a relaxed TiMn2Tl crystal.

a b c (Å): 3.9235 3.9235 9.2879
angles (deg): 77.81 77.81 90.00
Fractional positions:
1 Ti 0.2500 0.7500 0.5000
2 Mn 0.8750 0.7688 0.7500
3 Mn 0.3750 0.4812 0.7500
4 Mn 0.2312 0.6250 0.2500
5 Tl 0.7500 0.2500 0.5000
6 Tl 0.0000 0.0000 0.0000
7 Mn 0.5188 0.1250 0.2500
8 Ti 0.5000 0.5000 0.0000

Properties
Theoretical density ... 8.81 Mg/m³
Excess energy over the best structure of this formula in the dataset ... 560.2 meV per atom
Formation energy ... 300.6 kJ/mol of formula units
Uncorrected energy ... -50.97 eV per cell
Space-group type ... I-42d (122)

***

Record 3
Density functional theory data (PBE-GGA) for a relaxed TiMn3Tl crystal.

a b c (Å): 4.6011 4.6011 4.6011
angles (deg): 90.00 90.00 90.00
Fractional positions:
1 Mn 0.0000 0.0000 0.5000
2 Mn 0.5000 0.0000 0.0000
3 Mn 0.0000 0.5000 0.0000
4 Tl 0.5000 0.5000 0.5000
5 Ti 0.0000 0.0000 0.0000

Properties
Theoretical density ... 7.11 Mg/m³
Excess energy over the best structure of this formula in the dataset ... 0.0 meV per atom
Formation energy ... 482.6 kJ/mol of formula units
Uncorrected energy ... -32.77 eV per cell
Space-group type ... Pm-3m (221)

***

Record 4
Density functional theory data (PBE-GGA) for a relaxed Ti2MnTl crystal.

a b c (Å): 3.0372 3.0372 7.2654
angles (deg): 90.00 90.00 90.00
Fractional positions:
1 Ti 0.0000 0.0000 0.1936
2 Mn 0.5000 0.5000 0.0000
3 Ti 0.0000 0.0000 0.8064
4 Tl 0.5000 0.5000 0.5000

Properties
Theoretical density ... 8.80 Mg/m³
Excess energy over the best structure of this formula in the dataset ... 0.0 meV per atom
Formation energy ... -29.0 kJ/mol of formula units
Uncorrected energy ... -27.63 eV per cell
Space-group type ... P4/mmm (123)

***

Record 5
Density functional theory data (PBE-GGA) for a relaxed Ti6MnTl2 crystal.

a b c (Å): 4.7594 5.8861 7.6024
angles (deg): 112.78 108.29 90.00
Fractional positions:
1 Ti 0.8728 0.6192 0.7465
2 Ti 0.5000 0.2418 0.0000
3 Tl 0.6903 0.6897 0.3794
4 Ti 0.8728 0.1273 0.7465
5 Ti 0.1272 0.3808 0.2535
6 Ti 0.5000 0.7582 0.0000
7 Mn 0.0000 0.0000 0.0000
8 Tl 0.3097 0.3103 0.6206
9 Ti 0.1272 0.8727 0.2535

Properties
Theoretical density ... 6.75 Mg/m³
Formation energy ... 284.6 kJ/mol of formula units
Uncorrected energy ... -58.32 eV per cell
Space-group type ... C2/m (12)

***

Record 6
Density functional theory data (PBE-GGA) for a relaxed Ti6MnTl3 crystal.

a b c (Å): 7.2435 5.9884 5.9884
angles (deg): 59.18 71.86 71.86
Fractional positions:
1 Ti 0.3857 0.6509 0.1287
2 Mn 0.5000 0.5000 0.5000
3 Tl 0.7754 0.7898 0.7898
4 Tl 0.0000 0.0000 0.0000
5 Ti 0.2124 0.6949 0.6949
6 Tl 0.2246 0.2102 0.2102
7 Ti 0.3857 0.1287 0.6509
8 Ti 0.7876 0.3051 0.3051
9 Ti 0.6143 0.3491 0.8713
10 Ti 0.6143 0.8713 0.3491

Properties
Theoretical density ... 7.62 Mg/m³
Formation energy ... 270.7 kJ/mol of formula units
Uncorrected energy ... -60.83 eV per cell
Space-group type ... C2/m (12)